First-principles (PBE+U) data for CrGaNF2 after structural relaxation, as listed in the Alexandria database.

a = 3.9074 Å, b = 3.9074 Å, c = 3.9143 Å
α = 90.00°, β = 90.00°, γ = 90.00°
Fractional coordinates of all 5 atoms:
Cr: 0.0000 0.0000 0.0000
Ga: 0.5000 0.5000 0.5000
N: 0.5000 0.5000 0.0000
F: 0.0000 0.5000 0.5000
F: 0.5000 0.0000 0.5000

## Properties
* E: -27.38 eV per cell